La2GaNiO6 | Alexandria via LeMat-Bulk | PBE with a Hubbard U | optimized geometry; electronic total energy = -6.9162 eV per atom; distance to the lowest polymorph of the same formula = 0.000 eV/atom; crystal system = monoclinic
1.0
-4.038 -3.710 -0.466
2.100 -2.815 4.214
-4.641 4.106 5.055
O Ni La Ga
12 2 4 2
Cartesian
-5.915 -1.147 7.778 O
-6.756 0.509 5.675 O
-4.861 -1.264 3.605 O
-4.055 -2.875 5.639 O
-2.524 0.456 3.164 O
-1.718 -1.155 5.198 O
-3.507 -1.087 1.093 O
-3.778 -3.888 2.927 O
0.177 -2.928 3.128 O
-2.801 1.469 5.876 O
-0.664 -1.272 1.025 O
-3.072 -1.332 7.711 O
-1.271 0.646 4.635 Ni
-2.019 -1.855 -0.233 Ni
0.831 -1.723 5.362 La
-7.411 -0.696 3.442 La
-2.147 -2.133 3.002 La
-4.432 -0.286 5.802 La
-4.340 0.198 2.295 Ga
1.050 -1.407 2.107 Ga